1.
First-principles (PBE) data for a geometry-optimized Sc3CdN structure, as listed in the Alexandria database.

abc: 16.6512 7.4926 7.4926
angles: 153.45 148.24 31.76
Closest atoms and distances in Å follow each position.
Fractional positions:
Sc1 0.1862 0.8418 0.1582  1 N 2.37
Sc2 0.8138 0.1582 0.8418  1 N 2.37
Sc3 0.0420 0.2934 0.7066  3 N 2.11-2.27
Sc4 0.9580 0.7066 0.2934  3 N 2.11-2.27
Sc5 0.3541 0.8529 0.1471  1 N 2.04
Sc6 0.6459 0.1471 0.8529  1 N 2.04
N1 0.8944 0.9214 0.0786  4 Sc 2.04-2.27
N2 0.1056 0.0786 0.9214  4 Sc 2.04-2.27
Cd1 0.5779 0.0124 0.9876  1 Cd 2.92, 6 Sc 3.01-3.26
Cd2 0.4221 0.9876 0.0124  1 Cd 2.92, 6 Sc 3.01-3.26

---

2.
First-principles (PBE) data for a geometry-optimized Ce3AsN structure, as listed in the Alexandria database.

abc: 4.1191 7.4121 8.6656
angles: 103.26 93.50 99.92
Closest atoms and distances in Å follow each position.
Fractional positions:
Ce1 0.2379 0.3170 0.6103  1 N 2.30
Ce2 0.7043 0.3116 0.0087  3 N 2.36-2.42
Ce3 0.0821 0.9907 0.1909  1 N 2.58, 1 Ce 2.81
Ce4 0.7621 0.6830 0.3897  1 N 2.30
Ce5 0.9179 0.0093 0.8091  1 N 2.58, 1 Ce 2.81
Ce6 0.2957 0.6884 0.9913  3 N 2.36-2.42
As1 0.3037 0.7328 0.6472  6 Ce 2.96-3.08
As2 0.6963 0.2672 0.3528  6 Ce 2.96-3.08
N1 0.1989 0.3604 0.8795  5 Ce 2.30-2.58
N2 0.8011 0.6396 0.1205  5 Ce 2.30-2.58

---

3.
First-principles (PBE) data for a geometry-optimized PuSnSb2N structure, as listed in the Alexandria database.

abc: 3.8830 3.8830 16.9989
angles: 90.00 90.00 90.00
Closest atoms and distances in Å follow each position.
Fractional positions:
Pu1 0.5000 0.0000 0.5648  4 N 2.23
Pu2 0.0000 0.5000 0.4352  4 N 2.23
Sn1 0.5000 0.0000 0.1495  5 Sb 2.89-3.04
Sn2 0.0000 0.5000 0.8505  5 Sb 2.89-3.04
Sb1 0.0000 0.5000 0.6808  1 Sn 2.89
Sb2 0.0000 0.5000 0.0728  4 Sn 3.04
Sb3 0.5000 0.0000 0.9272  4 Sn 3.04
Sb4 0.5000 0.0000 0.3192  1 Sn 2.89
N1 0.0000 0.0000 0.5000  4 Pu 2.23
N2 0.5000 0.5000 0.5000  4 Pu 2.23

---

4.
First-principles (PBE) data for a geometry-optimized SbOsRuO2 structure, as listed in the Alexandria database.

abc: 3.7856 5.7409 3.7856
angles: 90.00 90.00 90.00
Closest atoms and distances in Å follow each position.
Fractional positions:
Sb1 0.0000 0.0000 0.0000  4 O 1.89
Os1 0.5000 0.5000 0.5000  4 Ru 2.68
O1 0.0000 0.0000 0.5000  2 Sb 1.89
O2 0.5000 0.0000 0.0000  2 Sb 1.89
Ru1 0.0000 0.5000 0.0000  4 Os 2.68, 2 Sb 2.87

---

5.
First-principles (PBE) data for a geometry-optimized TbCu2Ag structure, as listed in the Alexandria database.

abc: 4.6597 4.6597 4.6597
angles: 60.00 60.00 60.00
Closest atoms and distances in Å follow each position.
Fractional positions:
Tb1 0.0000 0.0000 0.0000  8 Cu 2.85
Cu1 0.2500 0.2500 0.2500  4 Tb 2.85, 4 Ag 2.85
Cu2 0.7500 0.7500 0.7500  4 Tb 2.85, 4 Ag 2.85
Ag1 0.5000 0.5000 0.5000  8 Cu 2.85

---

6.
First-principles (PBE) data for a geometry-optimized KPu2CdBr8 structure, as listed in the Alexandria database.

abc: 7.1321 6.8701 8.9636
angles: 90.00 90.00 86.99
Closest atoms and distances in Å follow each position.
Fractional positions:
K1 0.0000 0.0000 0.5000  6 Br 3.20-3.30
Pu1 0.5000 0.5000 0.7565  6 Br 2.93-2.97
Pu2 0.5000 0.5000 0.2435  6 Br 2.93-2.97
Cd1 0.0000 0.0000 0.0000  4 Br 2.78
Br1 0.1610 0.7582 0.2193  1 Cd 2.78, 1 Pu 2.93
Br2 0.6552 0.7367 0.0000  2 Pu 2.97, 1 Cd 3.13
Br3 0.8390 0.2418 0.2193  1 Cd 2.78, 1 Pu 2.93
Br4 0.8390 0.2418 0.7807  1 Cd 2.78, 1 Pu 2.93
Br5 0.3448 0.2633 0.0000  2 Pu 2.97, 1 Cd 3.13
Br6 0.1610 0.7582 0.7807  1 Cd 2.78, 1 Pu 2.93
Br7 0.6351 0.7235 0.5000  2 Pu 2.95, 1 K 3.30
Br8 0.3649 0.2765 0.5000  2 Pu 2.95, 1 K 3.30

---

7.
First-principles (PBE) data for a geometry-optimized Nd4Dy2Er structure, as listed in the Alexandria database.

abc: 6.2397 6.6702 11.6401
angles: 90.00 104.47 90.00
Closest atoms and distances in Å follow each position.
Fractional positions:
Nd1 0.6465 0.5108 0.2845  4 Nd 3.19-3.49, 1 Er 3.47, 1 Dy 3.52
Nd2 0.0422 0.7500 0.8654  3 Er 3.36-3.53, 2 Nd 3.40, 3 Dy 3.40-3.48
Nd3 0.9578 0.2500 0.1346  3 Er 3.36-3.53, 2 Nd 3.40, 3 Dy 3.40-3.48
Nd4 0.6465 0.9892 0.2845  4 Nd 3.19-3.49, 1 Er 3.47, 1 Dy 3.52
Nd5 0.8489 0.2500 0.5494  1 Er 3.34, 4 Dy 3.42-3.48, 4 Nd 3.49-3.63
Nd6 0.3535 0.0108 0.7155  4 Nd 3.19-3.49, 1 Er 3.47, 1 Dy 3.52
Nd7 0.3535 0.4892 0.7155  4 Nd 3.19-3.49, 1 Er 3.47, 1 Dy 3.52
Nd8 0.1511 0.7500 0.4506  1 Er 3.34, 4 Dy 3.42-3.48, 4 Nd 3.49-3.63
Dy1 0.6089 0.7500 0.9942  6 Nd 3.40-3.69, 1 Er 3.45, 2 Dy 3.62
Dy2 0.3911 0.2500 0.0058  6 Nd 3.40-3.69, 1 Er 3.45, 2 Dy 3.62
Dy3 0.2876 0.2500 0.4223  9 Nd 3.42-3.70
Dy4 0.7124 0.7500 0.5777  9 Nd 3.42-3.70
Er1 0.1480 0.7500 0.1632  6 Nd 3.34-3.53, 1 Dy 3.45
Er2 0.8520 0.2500 0.8368  6 Nd 3.34-3.53, 1 Dy 3.45

---

8.
First-principles (PBE) data for a geometry-optimized Hg4W structure, as listed in the Alexandria database.

abc: 5.3911 5.3911 5.3911
angles: 99.74 99.74 131.42
Closest atoms and distances in Å follow each position.
Fractional positions:
Hg1 0.3896 0.2063 0.5959  9 Hg 3.01-3.25, 3 W 3.06-3.11
Hg2 0.6104 0.7937 0.4041  9 Hg 3.01-3.25, 3 W 3.06-3.11
Hg3 0.7937 0.3896 0.1833  9 Hg 3.01-3.25, 3 W 3.06-3.11
Hg4 0.2063 0.6104 0.8167  9 Hg 3.01-3.25, 3 W 3.06-3.11
W1 0.0000 0.0000 0.0000  12 Hg 3.06-3.11

---

no.,uncorrected energy (eV per atom)
1,-6.281
2,-7.038
3,-7.425
4,-6.213
5,-4.060
6,-5.045
7,-4.567
8,-2.000